! Zn2PtW4 (PBE-GGA, relaxed); values from VASP
&SYSTEM
  ibrav = 0, nat = 7, ntyp = 3
/
ATOMIC_SPECIES
Zn 65.41 Zn.upf
W 183.84 W.upf
Pt 195.08 Pt.upf
CELL_PARAMETERS angstrom
-4.049 0.628 -2.520
1.232 -3.646 -2.886
-4.357 -5.473 1.045
ATOMIC_POSITIONS crystal
Zn 0.603 0.603 0.794
Zn 0.397 0.397 0.206
W 0.803 0.803 0.394
W 0.197 0.197 0.606
W 0.000 0.500 0.000
W 0.500 0.000 0.000
Pt 0.000 0.000 0.000
! Space-group type: I4/mmm
! Total DFT energy (no corrections) in eV per atom: -6.571
! Fermi-level density of states in states/eV per cell: 8.17